[1]
A plane-wave DFT calculation with PBE-GGA was carried out for AgAsRu2 after structural relaxation.

Cell and atoms, written as POSCAR:
```
AgAsRu2
1.0
3.914 0.000 0.000
0.000 3.914 0.000
1.957 1.957 9.190
As Ag Ru
2 2 4
direct
0.500 0.500 0.000 As
0.250 0.750 0.500 As
0.000 0.000 0.000 Ag
0.750 0.250 0.500 Ag
0.375 0.446 0.750 Ru
0.196 0.625 0.250 Ru
0.554 0.125 0.250 Ru
0.875 0.804 0.750 Ru
```

Results
Electronic total energy   -0.2148 Ha/atom
ΔH_f (0 K)   0.67 eV/atom
DOS at the Fermi energy   10.80 states/eV/cell


[2]
A plane-wave DFT calculation with PBE-GGA was carried out for Ag2As2Ru after structural relaxation.

Cell and atoms, written as POSCAR:
```
Ag2As2Ru
1.0
-0.908 -6.125 -0.953
5.944 -0.587 -1.890
1.321 -0.885 4.429
As Ag Ru
4 4 2
direct
0.362 0.862 0.000 As
0.138 0.362 0.000 As
0.862 0.638 0.000 As
0.638 0.138 0.000 As
0.726 0.774 0.500 Ag
0.274 0.226 0.500 Ag
0.774 0.274 0.500 Ag
0.226 0.726 0.500 Ag
0.500 0.500 0.000 Ru
0.000 0.000 0.000 Ru
```

Results
Electronic total energy   -0.1757 Ha/atom
ΔH_f (0 K)   0.07 eV/atom
DOS at the Fermi energy   3.59 states/eV/cell


[3]
A plane-wave DFT calculation with PBE-GGA was carried out for AgAs2Ru after structural relaxation.

Cell and atoms, written as POSCAR:
```
AgAs2Ru
1.0
-5.279 -0.124 -6.627
-5.061 -3.150 -6.022
-7.072 -1.399 -4.453
Ru Ag As
1 1 2
direct
0.250 0.250 0.250 Ru
0.750 0.750 0.750 Ag
0.510 0.510 0.510 As
0.990 0.990 0.990 As
```

Results
Energy relative to the lowest polymorph listed for this composition   0.01 eV per formula unit
Electronic total energy   -0.1959 Ha/atom
ΔH_f (0 K)   0.02 eV/atom
DOS at the Fermi energy   1.95 states/eV/cell


What did the third record say?
A plane-wave DFT calculation with PBE-GGA was carried out for AgAs2Ru after structural relaxation.

Cell and atoms, written as POSCAR:
```
AgAs2Ru
1.0
-5.279 -0.124 -6.627
-5.061 -3.150 -6.022
-7.072 -1.399 -4.453
Ru Ag As
1 1 2
direct
0.250 0.250 0.250 Ru
0.750 0.750 0.750 Ag
0.510 0.510 0.510 As
0.990 0.990 0.990 As
```

Results
Energy relative to the lowest polymorph listed for this composition   0.01 eV per formula unit
Electronic total energy   -0.1959 Ha/atom
ΔH_f (0 K)   0.02 eV/atom
DOS at the Fermi energy   1.95 states/eV/cell